Record 1
Compound: YBe2Os
Source: Alexandria via LeMat-Bulk
Functional: GGA-PBE
Structure: relaxed

ΔH_f (0 K)   -0.154 eV/atom

abc: 3.8615 3.8615 5.4584
angles: 110.83 110.83 60.07
Sites, in units of the cell vectors:
Y: 0.0000 0.0000 0.0000
Be: 0.1878 0.1878 0.5636
Be: 0.5058 0.5058 0.5179
Os: 0.8019 0.8019 0.4066

***

Record 2
Compound: Nb2VP2
Source: Alexandria via LeMat-Bulk
Functional: GGA-PBE
Structure: relaxed

ΔH_f (0 K)   -0.721 eV/atom

abc: 7.6834 7.6834 6.0489
angles: 90.00 90.00 153.99
Sites, in units of the cell vectors:
Nb: 0.0306 0.9694 0.5000
Nb: 0.1858 0.8142 0.8610
Nb: 0.8142 0.1858 0.3610
Nb: 0.9694 0.0306 0.0000
V: 0.3947 0.6053 0.6802
V: 0.6053 0.3947 0.1802
P: 0.1890 0.8110 0.3581
P: 0.4380 0.5620 0.2947
P: 0.5620 0.4380 0.7947
P: 0.8110 0.1890 0.8581

***

Record 3
Compound: Pm5ThSc
Source: Alexandria via LeMat-Bulk
Functional: GGA-PBE
Structure: relaxed

ΔH_f (0 K)   0.235 eV/atom

abc: 6.1684 6.1684 7.0445
angles: 99.87 99.87 112.22
Sites, in units of the cell vectors:
Pm: 0.0000 0.0000 0.0000
Pm: 0.1010 0.5233 0.2696
Pm: 0.4767 0.8990 0.7304
Pm: 0.5233 0.1010 0.2696
Pm: 0.8990 0.4767 0.7304
Th: 0.0000 0.0000 0.5000
Sc: 0.5000 0.5000 0.0000

***

Record 4
Compound: FeSi2Rh2
Source: Alexandria via LeMat-Bulk
Functional: GGA-PBE
Structure: relaxed

E_form (uncorrected)   -0.52 eV/atom

abc: 6.9433 6.9433 2.7582
angles: 90.00 90.00 90.00
Sites, in units of the cell vectors:
Fe: 0.0000 0.0000 0.0000
Fe: 0.5000 0.5000 0.0000
Si: 0.1513 0.3487 0.0000
Si: 0.3487 0.8487 0.0000
Si: 0.6513 0.1513 0.0000
Si: 0.8487 0.6513 0.0000
Rh: 0.1476 0.6476 0.5000
Rh: 0.3524 0.1476 0.5000
Rh: 0.6476 0.8524 0.5000
Rh: 0.8524 0.3524 0.5000

***

Record 5
Compound: YBe4Cu
Source: Alexandria via LeMat-Bulk
Functional: GGA-PBE
Structure: relaxed

ΔH_f (0 K)   0.130 eV/atom

abc: 4.7227 4.7227 4.7227
angles: 60.00 60.00 60.00
Sites, in units of the cell vectors:
Y: 0.0000 0.0000 0.0000
Be: 0.1291 0.6236 0.6236
Be: 0.6236 0.1291 0.6236
Be: 0.6236 0.6236 0.1291
Be: 0.6236 0.6236 0.6236
Cu: 0.2500 0.2500 0.2500

***

Record 6
Compound: La3In2Co
Source: Alexandria via LeMat-Bulk
Functional: GGA-PBE
Structure: relaxed

ΔH_f (0 K)   -0.290 eV/atom

abc: 7.3879 7.3879 6.7949
angles: 102.62 102.62 86.96
Sites, in units of the cell vectors:
La: 0.0613 0.9387 0.7500
La: 0.2140 0.4685 0.9411
La: 0.4685 0.2140 0.4411
La: 0.5315 0.7860 0.5589
La: 0.7860 0.5315 0.0589
La: 0.9387 0.0613 0.2500
In: 0.1565 0.5437 0.4275
In: 0.4563 0.8435 0.0725
In: 0.5437 0.1565 0.9275
In: 0.8435 0.4563 0.5725
Co: 0.1641 0.8359 0.2500
Co: 0.8359 0.1641 0.7500

***

Record 7
Compound: KRbAg2Ge
Source: Alexandria via LeMat-Bulk
Functional: GGA-PBE
Structure: relaxed

ΔH_f (0 K)   0.113 eV/atom

abc: 5.1621 5.1621 6.1879
angles: 90.00 90.00 90.00
Sites, in units of the cell vectors:
K: 0.0000 0.0000 0.0000
Rb: 0.5000 0.5000 0.0000
Ag: 0.0000 0.5000 0.5000
Ag: 0.5000 0.0000 0.5000
Ge: 0.0000 0.0000 0.5000

***

Record 8
Compound: HAu2I6
Source: Alexandria via LeMat-Bulk
Functional: GGA-PBE
Structure: relaxed

Final energy   -2.09 eV per atom

abc: 10.0127 10.0127 9.2431
angles: 90.36 90.36 109.03
Sites, in units of the cell vectors:
H: 0.1927 0.8073 0.7500
H: 0.8073 0.1927 0.2500
Au: 0.1690 0.4769 0.8183
Au: 0.4769 0.1690 0.3183
Au: 0.5231 0.8310 0.6817
Au: 0.8310 0.5231 0.1817
I: 0.0338 0.6393 0.7158
I: 0.0418 0.1782 0.8311
I: 0.1782 0.0418 0.3311
I: 0.3612 0.3880 0.9401
I: 0.3607 0.9662 0.7842
I: 0.3880 0.3612 0.4401
I: 0.6120 0.6388 0.5599
I: 0.6393 0.0338 0.2158
I: 0.6388 0.6120 0.0599
I: 0.8218 0.9582 0.6689
I: 0.9582 0.8218 0.1689
I: 0.9662 0.3607 0.2842

***

Number 1: mass density 7.67 Mg/m³. Number 2: mass density 6.34 Mg/m³. Number 3: mass density 7.05 Mg/m³. Number 4: mass density 7.94 Mg/m³. Number 5: mass density 4.20 Mg/m³. Number 6: mass density 6.63 Mg/m³. Number 7: mass density 4.16 Mg/m³. Number 8: mass density 4.38 Mg/m³.